(1)
VASP calculation (PBE-GGA) on a relaxed structure of LiZnPt2Au.

a b c (Å): 5.081 4.745 5.081
angles (deg): 90.00 90.00 90.00
Fractional positions:
Zn1 0.000 0.500 0.000
Au1 0.000 0.000 0.000
Pt1 0.000 0.000 0.500
Pt2 0.500 0.000 0.000
Li1 0.500 0.500 0.500

Its formation energy is 14.3 kcal/mol of atoms. As for the raw total energy: -15.45 eV for the cell shown. The space-group type is P4/mmm. Its crystal system is tetragonal.

***

(2)
VASP calculation (PBE-GGA) on a relaxed structure of Li5PuAu4.

a b c (Å): 2.948 2.948 19.491
angles (deg): 90.00 90.00 90.00
Site moments in Bohr magnetons follow the coordinates.
Fractional positions:
Li1 0.500 0.500 0.138  0.01
Li2 0.500 0.500 0.316  0.00
Li3 0.500 0.500 0.500  0.00
Li4 0.500 0.500 0.684  0.00
Li5 0.500 0.500 0.862  0.01
Pu1 0.000 0.000 0.000  5.70
Au1 0.000 0.000 0.224  0.00
Au2 0.000 0.000 0.408  0.00
Au3 0.000 0.000 0.592  0.00
Au4 0.000 0.000 0.776  0.00

Its formation energy is -8.4 kcal/mol of atoms. As for the raw total energy: -40.65 eV for the cell shown. The space-group type is P4/mmm. Its crystal system is tetragonal.